Compound: GaNi3Cl
Source: the Alexandria database
Functional: GGA-PBE
Structure: optimized geometry

CIF file:
```
data_GaNi3Cl
_cell_length_a 4.204
_cell_length_b 4.204
_cell_length_c 4.204
_cell_angle_alpha 90.00
_cell_angle_beta 90.00
_cell_angle_gamma 90.00
_space_group_name_H-M_alt 'P 1'
_space_group_IT_number 1
loop_
_space_group_symop_operation_xyz
'x,y,z'
loop_
_atom_site_label
_atom_site_type_symbol
_atom_site_fract_x
_atom_site_fract_y
_atom_site_fract_z
Ni1 Ni 0.000 0.500 0.000
Ni2 Ni 0.000 0.000 0.500
Ni3 Ni 0.500 0.000 0.000
Ga1 Ga 0.500 0.500 0.500
Cl1 Cl 0.000 0.000 0.000
```

Output
Uncorrected formation energy   0.5075 eV per atom
Distance to the lowest polymorph of the same formula   0 meV per atom